No. 1
Material: Ac9Pr2Er
Method: DFT, GGA-PBE
State: relaxed

Properties
Crystal system ... tetragonal
Energy ... -50.79 eV for the cell shown

abc: 5.5169 5.5169 16.5884
angles: 90.00 90.00 90.00
Space group P4/mmm (No. 123)
Asymmetric unit:
Ac 0.0000 0.0000 0.0000
Ac 0.0000 0.0000 0.3321
Ac 0.0000 0.5000 0.1642
Ac 0.0000 0.5000 0.5000
Pr 0.5000 0.5000 0.3318
Er 0.5000 0.5000 0.0000

No. 2
Material: Ac3PrEr
Method: DFT, GGA-PBE
State: relaxed

Properties
Crystal system ... monoclinic
Energy ... -82.99 eV for the cell shown

abc: 12.4131 7.5205 9.3548
angles: 90.00 109.41 90.00
Space group C2/m (No. 12)
Asymmetric unit:
Ac 0.1547 0.2496 0.1182
Ac 0.2479 0.0000 0.5016
Pr 0.0573 0.5000 0.7293
Er 0.0571 0.0000 0.7294

No. 3
Material: Ac2Pr4Er7
Method: DFT, GGA-PBE
State: relaxed

Properties
Crystal system ... trigonal
Energy ... -56.71 eV for the cell shown

abc: 6.2118 6.2118 13.6506
angles: 90.00 90.00 120.00
Space group P-31m (No. 162)
Asymmetric unit:
Ac 0.3333 0.6667 0.0000
Pr 0.0000 0.0000 0.3926
Pr 0.3333 0.6667 0.5000
Er 0.0000 0.0000 0.0000
Er 0.0000 0.3496 0.7855

No. 4
Material: Ac12Pr7Er
Method: DFT, GGA-PBE
State: relaxed

Properties
Crystal system ... cubic
Polymorph energy (0 for the lowest one) ... 8.96 eV/f.u.

abc: 12.4080 12.4080 12.4080
angles: 90.00 90.00 90.00
Space group Im-3 (No. 204)
Asymmetric unit:
Ac 0.0000 0.2350 0.2483
Pr 0.0000 0.0000 0.5000
Pr 0.2500 0.2500 0.2500
Er 0.0000 0.0000 0.0000

| no. | M_tot (μB per formula unit) | volume (Å³/f.u.) |
| --- | --- | --- |
| 1 | 0.00 | 504.9 |
| 2 | 0.00 | 205.9 |
| 3 | 0.00 | 456.2 |
| 4 | 0.82 | 955.2 |